Material: HoCrO4
Method: DFT, meta-GGA SCAN
State: single point on PBEsol structure

Calculated values
Its density of states at the Fermi level is 3.4 states/eV/f.u. The formation energy without anion corrections comes out at -2.894 eV per atom. The calculation puts the calculated volume at 76.79 Å³/f.u. The total energy is -18.2767 eV per atom.

abc: 5.8658 5.8658 5.8658
angles: 106.07 106.07 116.51
Last column: nearest neighbours and their distance in Å.
Element x y z (fractional)
1 Ho 0.3750 0.6250 0.7500  8 O 2.28-2.38
2 Ho 0.6250 0.3750 0.2500  8 O 2.28-2.38
3 Cr 0.1250 0.8750 0.2500  4 O 1.69
4 Cr 0.8750 0.1250 0.7500  4 O 1.69
5 O 0.1329 0.6989 0.4341  1 Cr 1.69
6 O 0.2352 0.3011 0.9341  1 Cr 1.69
7 O 0.3011 0.2352 0.4341  1 Cr 1.69
8 O 0.3011 0.8671 0.0659  1 Cr 1.69
9 O 0.6989 0.1329 0.9341  1 Cr 1.69
10 O 0.6989 0.7648 0.5659  1 Cr 1.69
11 O 0.7648 0.6989 0.0659  1 Cr 1.69
12 O 0.8671 0.3011 0.5659  1 Cr 1.69